This record from Alexandria describes a relaxed structure of NiMoN2O. The functional is PBE with a Hubbard U.

Cell and atoms, written as POSCAR:
```
NiMoN2O
1.0
3.972 0.000 0.000
0.000 3.972 0.000
0.000 0.000 3.846
Ni Mo N O
1 1 2 1
direct
0.000 0.000 0.000
0.500 0.500 0.500
0.000 0.500 0.500
0.500 0.000 0.500
0.500 0.500 0.000
```

Computed properties:
Raw total energy   -28.53 eV per cell
ρ   5436 kg/m3